1.
A plane-wave DFT calculation with PBE was carried out for a geometry-optimized Ac2BiAuO6 structure.

Geometry as extended XYZ:
```
10
Lattice="6.238 0.000 0.000 0.000 5.484 0.000 0.000 0.000 5.484" Properties=species:S:1:pos:R:3 pbc="T T T"
O 4.583 1.405 1.405
O 4.583 1.405 4.079
O 4.583 4.079 4.079
Ac 0.063 0.000 2.742
Bi 3.363 2.742 2.742
Ac 0.063 2.742 0.000
O 0.913 2.742 2.742
O 0.740 0.000 0.000
Au 4.263 0.000 0.000
O 4.583 4.079 1.405
```

Properties
Space-group type: P4mm, No. 99
Final energy in eV/atom: -6.32

---

2.
A plane-wave DFT calculation with PBE was carried out for a geometry-optimized AcPaBiAu structure.

Geometry as extended XYZ:
```
4
Lattice="5.537 0.000 0.000 2.769 4.796 0.000 2.769 1.599 4.521" Properties=species:S:1:pos:R:3 pbc="T T T"
Pa 5.537 3.197 2.261
Bi 2.769 1.599 1.130
Ac 0.000 0.000 0.000
Au 8.306 4.796 3.391
```

Properties
Space-group type: F-43m, No. 216
Final energy in eV/atom: -5.42

---

3.
A plane-wave DFT calculation with PBE was carried out for a geometry-optimized AcBiPd6Au structure.

Geometry as extended XYZ:
```
18
Lattice="7.249 0.000 0.000 0.000 9.908 0.000 -3.625 -4.954 5.611" Properties=species:S:1:pos:R:3 pbc="T T T"
Pd 3.625 2.477 0.896
Pd 0.000 2.477 4.714
Pd 5.862 -0.109 1.454
Bi 3.625 0.000 0.000
Au 1.812 -2.477 2.805
Pd 5.862 5.063 1.454
Pd 0.000 7.431 0.861
Pd 1.387 5.063 1.454
Ac 3.625 2.477 3.749
Pd -2.238 5.063 4.156
Pd 2.238 -0.109 4.156
Bi 3.625 4.954 0.000
Pd -2.238 -0.109 4.156
Au -1.812 -2.477 2.805
Ac 0.000 2.477 1.862
Pd 3.625 -2.477 4.750
Pd 1.387 -0.109 1.454
Pd 2.238 5.063 4.156
```

Properties
Space-group type: Imma, No. 74
Final energy in eV/atom: -4.80

---

4.
A plane-wave DFT calculation with PBE was carried out for a geometry-optimized Ac2Bi4Pd3Au structure.

Geometry as extended XYZ:
```
10
Lattice="4.943 0.000 0.000 0.000 4.943 0.000 0.000 0.000 10.966" Properties=species:S:1:pos:R:3 pbc="T T T"
Bi 0.000 2.472 4.047
Pd 0.000 0.000 5.483
Au 2.472 2.472 5.483
Pd 0.000 2.472 1.353
Bi 0.000 0.000 0.000
Ac 0.000 2.472 8.081
Bi 2.472 0.000 6.919
Ac 2.472 0.000 2.885
Pd 2.472 0.000 9.614
Bi 2.472 2.472 0.000
```

Properties
Space-group type: P-4m2, No. 115
Final energy in eV/atom: -4.88

---

5.
A plane-wave DFT calculation with PBE was carried out for a geometry-optimized AcBi2Pd2Au structure.

Geometry as extended XYZ:
```
6
Lattice="5.492 0.000 0.000 0.000 5.492 0.000 -2.746 -2.746 5.725" Properties=species:S:1:pos:R:3 pbc="T T T"
Au 0.000 0.000 0.000
Bi 0.000 2.746 2.862
Ac 2.746 2.746 0.000
Pd 0.000 0.000 2.644
Bi 2.746 0.000 2.862
Pd 2.746 2.746 3.081
```

Properties
Space-group type: I4/mmm, No. 139
Final energy in eV/atom: -4.50

---

6.
A plane-wave DFT calculation with PBE was carried out for a geometry-optimized AcBiPdAu structure.

Geometry as extended XYZ:
```
4
Lattice="5.243 0.000 0.000 2.622 4.541 0.000 2.622 1.514 4.281" Properties=species:S:1:pos:R:3 pbc="T T T"
Ac 2.622 1.514 1.070
Pd 5.243 3.027 2.141
Au 0.000 0.000 0.000
Bi 7.865 4.541 3.211
```

Properties
Space-group type: F-43m, No. 216
Final energy in eV/atom: -4.75

---

7.
A plane-wave DFT calculation with PBE was carried out for a geometry-optimized AcPrBiAu structure.

Geometry as extended XYZ:
```
4
Lattice="-2.144 -4.621 2.351 2.116 -1.934 4.823 -2.991 0.389 4.731" Properties=species:S:1:pos:R:3 pbc="T T T"
Ac -2.264 -4.625 8.929
Bi -1.509 -3.083 5.953
Pr -0.755 -1.542 2.976
Au 0.000 0.000 0.000
```

Properties
Space-group type: F-43m, No. 216
Final energy in eV/atom: -4.70

---

8.
A plane-wave DFT calculation with PBE was carried out for a geometry-optimized Ac3Bi2Pt4Au2 structure.

Geometry as extended XYZ:
```
11
Lattice="-0.347 -3.533 -3.130 -1.428 -0.645 4.466 -13.924 4.710 -3.773" Properties=species:S:1:pos:R:3 pbc="T T T"
Pt -2.498 -1.965 -1.083
Pt -9.287 0.332 -2.922
Au -2.890 -0.991 1.440
Pt -13.202 2.497 -1.354
Bi -9.121 1.116 -0.248
Ac -3.650 1.235 -0.989
Ac -10.274 3.475 -2.784
Pt -6.412 0.200 0.486
Bi -6.578 -0.585 -2.189
Ac 0.000 0.000 0.000
Au -12.809 1.523 -3.877
```

Properties
Space-group type: P-3m1, No. 164
Final energy in eV/atom: -5.40

---

Among the records above, which one has the highest final energy?
AcBi2Pd2Au

---

Which formula does entry 8 have?
Ac3Bi2Pt4Au2

---

final energy of number 2 (AcPaBiAu)?
-5.42 eV/atom